[1]
DFT (meta-GGA SCAN) results for a PBEsol-optimized structure of RbB3O.

a b c (Å): 4.244 4.244 4.244
angles (deg): 90.00 90.00 90.00
Last column: magnetic moment on the atom in μB.
Atoms (fractional coordinates):
B  0.000  0.000  0.500  0.08
B  0.500  0.000  0.000  0.08
B  0.000  0.500  0.000  0.08
O  0.000  0.000  0.000  0.29
Rb  0.500  0.500  0.500  0.05

Summary:
Crystal system: cubic
Formation energy from raw total energies in eV per atom: 2.356
DOS(E_F) in states/eV per atom: 0.654
DFT total energy in hartree per atom: -0.27547



[2]
DFT (meta-GGA SCAN) results for a PBEsol-optimized structure of RbB2Se3O10.

a b c (Å): 4.655 11.839 16.114
angles (deg): 90.00 90.00 90.00
Last column: magnetic moment on the atom in μB.
Atoms (fractional coordinates):
Se  0.972  0.473  0.267  -0.02
Se  0.923  0.736  0.905  0.01
Se  0.571  0.988  0.506  0.01
Se  0.028  0.973  0.233  -0.02
Se  0.929  0.012  0.006  0.01
Se  0.423  0.764  0.095  0.01
Se  0.528  0.527  0.767  -0.02
Se  0.077  0.236  0.595  0.01
Se  0.472  0.027  0.733  -0.02
Se  0.071  0.512  0.494  0.01
Se  0.577  0.264  0.405  0.01
Se  0.429  0.488  0.994  0.01
O  0.361  0.925  0.427  0.01
O  0.884  0.916  0.476  0.01
O  0.962  0.588  0.090  0.00
O  0.384  0.584  0.524  0.01
O  0.018  0.617  0.240  0.02
O  0.602  0.466  0.272  0.48
O  0.495  0.915  0.591  0.02
O  0.506  0.404  0.399  0.30
O  0.482  0.383  0.740  0.02
O  0.477  0.589  0.669  0.03
O  0.861  0.575  0.573  0.01
O  0.538  0.412  0.590  0.00
O  0.982  0.117  0.260  0.02
O  0.879  0.299  0.675  0.02
O  0.006  0.096  0.601  0.30
O  0.621  0.701  0.175  0.02
O  0.505  0.415  0.909  0.02
O  0.898  0.534  0.772  0.48
O  0.910  0.268  0.354  0.02
O  0.462  0.912  0.910  0.00
O  0.023  0.411  0.169  0.03
O  0.977  0.911  0.331  0.03
O  0.038  0.088  0.410  0.00
O  0.995  0.585  0.409  0.02
O  0.090  0.768  0.146  0.02
O  0.116  0.416  0.024  0.01
O  0.994  0.596  0.899  0.30
O  0.379  0.201  0.325  0.02
O  0.121  0.799  0.825  0.02
O  0.639  0.425  0.073  0.01
O  0.005  0.085  0.091  0.02
O  0.102  0.034  0.728  0.48
O  0.590  0.732  0.854  0.02
O  0.518  0.883  0.760  0.02
O  0.523  0.089  0.831  0.03
O  0.139  0.075  0.927  0.01
O  0.398  0.966  0.228  0.48
O  0.494  0.904  0.101  0.30
O  0.616  0.084  0.976  0.01
O  0.410  0.232  0.646  0.02
B  0.425  0.840  0.841  0.00
B  0.066  0.967  0.411  0.00
B  0.925  0.660  0.159  0.00
B  0.575  0.340  0.659  0.00
B  0.566  0.533  0.589  0.00
B  0.434  0.033  0.911  0.00
B  0.075  0.160  0.341  0.00
B  0.934  0.467  0.089  0.00
Rb  0.991  0.287  0.856  0.00
Rb  0.491  0.213  0.144  0.00
Rb  0.009  0.787  0.644  0.00
Rb  0.509  0.713  0.356  0.00

Summary:
Crystal system: orthorhombic
Formation energy from raw total energies in eV per atom: -1.467
DFT total energy in hartree per atom: -0.41716



[3]
DFT (meta-GGA SCAN) results for a PBEsol-optimized structure of Re2BO.

a b c (Å): 3.937 3.937 6.766
angles (deg): 106.91 106.91 90.00
Atoms (fractional coordinates):
B  0.750  0.250  0.500
B  0.500  0.500  0.000
Re  0.625  0.646  0.750
Re  0.896  0.375  0.250
Re  0.354  0.875  0.250
Re  0.125  0.104  0.750
O  0.000  0.000  0.000
O  0.250  0.750  0.500

Summary:
Crystal system: tetragonal
Formation energy from raw total energies in eV per atom: 0.385
DOS(E_F) in states/eV per atom: 0.615
DFT total energy in hartree per atom: -1.41774



[4]
DFT (meta-GGA SCAN) results for a PBEsol-optimized structure of ReB3O.

a b c (Å): 3.452 3.452 3.452
angles (deg): 90.00 90.00 90.00
Atoms (fractional coordinates):
B  0.000  0.000  0.500
B  0.000  0.500  0.000
B  0.500  0.000  0.000
Re  0.500  0.500  0.500
O  0.000  0.000  0.000

Summary:
Crystal system: cubic
Formation energy from raw total energies in eV per atom: 1.223
DOS(E_F) in states/eV per atom: 0.480
DFT total energy in hartree per atom: -0.68723



[5]
DFT (meta-GGA SCAN) results for a PBEsol-optimized structure of B2RhO.

a b c (Å): 3.701 3.701 3.701
angles (deg): 60.00 60.00 60.00
Last column: magnetic moment on the atom in μB.
Atoms (fractional coordinates):
Rh  0.500  0.500  0.500  0.05
B  0.250  0.250  0.250  0.10
B  0.750  0.750  0.750  0.10
O  0.000  0.000  0.000  0.71

Summary:
Crystal system: cubic
Formation energy from raw total energies in eV per atom: 1.355
DOS(E_F) in states/eV per atom: 0.361
DFT total energy in hartree per atom: -0.45425



[6]
DFT (meta-GGA SCAN) results for a PBEsol-optimized structure of BRhO2.

a b c (Å): 2.532 2.532 5.955
angles (deg): 77.72 77.72 60.00
Atoms (fractional coordinates):
Rh  0.000  0.000  0.000
O  0.117  0.117  0.650
O  0.883  0.883  0.350
B  0.500  0.500  0.500

Summary:
Crystal system: trigonal
Formation energy from raw total energies in eV per atom: -1.130
DOS(E_F) in states/eV per atom: 0.529
DFT total energy in hartree per atom: -0.53455



[7]
DFT (meta-GGA SCAN) results for a PBEsol-optimized structure of Sc2BRuO.

a b c (Å): 3.052 4.752 4.752
angles (deg): 90.00 90.00 90.00
Atoms (fractional coordinates):
Ru  0.500  0.500  0.500
B  0.000  0.000  0.000
O  0.500  0.000  0.000
Sc  0.000  0.500  0.000
Sc  0.000  0.000  0.500

Summary:
Crystal system: tetragonal
Formation energy from raw total energies in eV per atom: -0.120
DOS(E_F) in states/eV per atom: 0.465
DFT total energy in hartree per atom: -0.57007



[8]
DFT (meta-GGA SCAN) results for a PBEsol-optimized structure of BSO2.

a b c (Å): 3.669 3.669 3.669
angles (deg): 60.00 60.00 60.00
Atoms (fractional coordinates):
S  0.500  0.500  0.500
O  0.250  0.250  0.250
O  0.750  0.750  0.750
B  0.000  0.000  0.000

Summary:
Crystal system: cubic
Formation energy from raw total energies in eV per atom: 1.677
DOS(E_F) in states/eV per atom: 0.456
Relative energy among the computed polymorphs in meV per atom: 2428
DFT total energy in hartree per atom: -0.20957